Entry 1:
# FeReAu2

An optimized crystal structure of FeReAu2 (PBE-GGA, Alexandria via LeMat-Bulk).

magnetic moment: 2.64 μB per formula unit
density of states at the Fermi level: 4.41 states/eV per cell
energy relative to the elements: 0.48 eV/atom
energy relative to the lowest polymorph listed for this composition: 252 meV/atom

Cell lengths 2.720, 4.140, 5.610 Å; angles 90.00, 90.10, 90.00 degrees
Sites, in units of the cell vectors:
Fe (0.000, 0.000, 0.000)
Re (0.000, 0.000, 0.500)
Au (0.499, 0.500, 0.249)
Au (0.501, 0.500, 0.751)

=====

Entry 2:
# Na2NbMo

An optimized crystal structure of Na2NbMo (PBE-GGA, Alexandria via LeMat-Bulk).

magnetic moment: 0.00 μB per formula unit
density of states at the Fermi level: 5.55 states/eV per cell
energy relative to the elements: 1.44 eV/atom
energy relative to the lowest polymorph listed for this composition: 0 meV/atom

Cell lengths 6.419, 6.419, 6.419 Å; angles 98.47, 98.47, 134.87 degrees
Sites, in units of the cell vectors:
Na (0.115, 0.625, 0.990)
Na (0.375, 0.365, 0.490)
Na (0.635, 0.125, 0.010)
Na (0.875, 0.885, 0.510)
Nb (0.250, 0.750, 0.500)
Nb (0.500, 0.500, 0.000)
Mo (0.000, 0.000, 0.000)
Mo (0.750, 0.250, 0.500)

=====

Entry 3:
# YFeTe2

An optimized crystal structure of YFeTe2 (PBE-GGA, Alexandria via LeMat-Bulk).

magnetic moment: 2.81 μB per formula unit
formation energy from raw total energies: 75 meV per atom
density of states at the Fermi level: 5.07 states/eV per cell

Cell lengths 5.166, 5.166, 5.166 Å; angles 60.00, 60.00, 60.00 degrees
Sites, in units of the cell vectors:
Y (0.000, 0.000, 0.000)
Fe (0.750, 0.750, 0.750)
Te (0.250, 0.250, 0.250)
Te (0.500, 0.500, 0.500)

=====

Entry 4:
# DyLuSiPd

An optimized crystal structure of DyLuSiPd (PBE-GGA, Alexandria via LeMat-Bulk).

magnetic moment: 0.00 μB per formula unit
formation energy from raw total energies: -742 meV per atom
density of states at the Fermi level: 1.52 states/eV per cell

Cell lengths 4.924, 4.924, 4.924 Å; angles 60.00, 60.00, 60.00 degrees
Sites, in units of the cell vectors:
Dy (0.000, 0.000, 0.000)
Lu (0.500, 0.500, 0.500)
Si (0.250, 0.250, 0.250)
Pd (0.750, 0.750, 0.750)

=====

Entry 5:
# GdTmGaPd

An optimized crystal structure of GdTmGaPd (PBE-GGA, Alexandria via LeMat-Bulk).

magnetic moment: 7.18 μB per formula unit
density of states at the Fermi level: 3.13 states/eV per cell
energy relative to the elements: -0.70 eV/atom

Cell lengths 5.015, 5.015, 5.015 Å; angles 60.00, 60.00, 60.00 degrees
Sites, in units of the cell vectors:
Gd (0.000, 0.000, 0.000)
Tm (0.500, 0.500, 0.500)
Ga (0.750, 0.750, 0.750)
Pd (0.250, 0.250, 0.250)

=====

Entry 6:
# CdCu2AgF

An optimized crystal structure of CdCu2AgF (PBE-GGA, Alexandria via LeMat-Bulk).

magnetic moment: 0.00 μB per formula unit
formation energy from raw total energies: 258 meV per atom
density of states at the Fermi level: 1.24 states/eV per cell

Cell lengths 4.910, 4.910, 4.169 Å; angles 90.00, 90.00, 90.00 degrees
Sites, in units of the cell vectors:
Cd (0.000, 0.000, 0.000)
Cu (0.000, 0.500, 0.500)
Cu (0.500, 0.000, 0.500)
Ag (0.500, 0.500, 0.500)
F (0.500, 0.500, 0.000)

=====

Entry 7:
# La2CdAu6

An optimized crystal structure of La2CdAu6 (PBE-GGA, Alexandria via LeMat-Bulk).

magnetic moment: 0.00 μB per formula unit
density of states at the Fermi level: 4.71 states/eV per cell
energy relative to the elements: -0.59 eV/atom

Cell lengths 6.531, 6.531, 5.634 Å; angles 90.04, 90.04, 59.90 degrees
Sites, in units of the cell vectors:
La (0.167, 0.167, 0.172)
La (0.833, 0.833, 0.828)
Cd (0.500, 0.500, 0.000)
Au (0.128, 0.686, 0.323)
Au (0.314, 0.314, 0.678)
Au (0.314, 0.872, 0.677)
Au (0.686, 0.128, 0.323)
Au (0.686, 0.686, 0.322)
Au (0.872, 0.314, 0.677)

=====

Entry 8:
# Rb3Na7Sb2

An optimized crystal structure of Rb3Na7Sb2 (PBE-GGA, Alexandria via LeMat-Bulk).

magnetic moment: 0.00 μB per formula unit
formation energy from raw total energies: -182 meV per atom
density of states at the Fermi level: 6.14 states/eV per cell

Cell lengths 15.635, 15.635, 5.978 Å; angles 90.00, 90.00, 157.95 degrees
Sites, in units of the cell vectors:
Rb (0.000, 0.000, 0.000)
Rb (0.181, 0.819, 0.000)
Rb (0.819, 0.181, 0.000)
Na (0.090, 0.910, 0.500)
Na (0.292, 0.708, 0.500)
Na (0.411, 0.589, 0.000)
Na (0.500, 0.500, 0.500)
Na (0.589, 0.411, 0.000)
Na (0.708, 0.292, 0.500)
Na (0.910, 0.090, 0.500)
Sb (0.394, 0.606, 0.500)
Sb (0.606, 0.394, 0.500)